First-principles (PBE) data for crystalline LiIr2Pt at its relaxed geometry, as listed in Alexandria.

a = 9.1052 Å, b = 2.7236 Å, c = 4.6380 Å
α = 90.00°, β = 98.19°, γ = 90.00°
Last column: nearest neighbours and their distance in Å.
Space group C2/m (No. 12)
Symmetry-distinct sites (fractional):
Li (0.0000, 0.0000, 0.0000) [2 per cell]  6 Ir 2.63-2.81, 4 Pt 2.69, 2 Li 2.72
Ir (0.2431, 0.0000, 0.7530) [4 per cell]  3 Li 2.63-2.81, 6 Ir 2.65-2.73, 3 Pt 2.72-2.76
Pt (0.0000, 0.5000, 0.5000) [2 per cell]  4 Li 2.69, 6 Ir 2.72-2.76, 2 Pt 2.72

Summary:
Formation energy = -0.169 eV/atom
Uncorrected energy = -6.59 eV per atom
DOS(E_F) = 1.00 states/eV per atom
Volume = 14.23 A^3/atom
Magnetic moment = 0.00 μB/cell
Offset from the most stable computed form = 0.000 eV/atom



First-principles (PBE) data for crystalline LiIrPt2 at its relaxed geometry, as listed in Alexandria.

a = 2.7376 Å, b = 2.7376 Å, c = 7.8821 Å
α = 90.00°, β = 90.00°, γ = 90.00°
Last column: nearest neighbours and their distance in Å.
Space group P4/mmm (No. 123)
Symmetry-distinct sites (fractional):
Li (0.0000, 0.0000, 0.0000) [1 per cell]  4 Li 2.74, 8 Pt 2.77
Ir (0.0000, 0.0000, 0.5000) [1 per cell]  4 Ir 2.74, 8 Pt 2.75
Pt (0.5000, 0.5000, 0.2517) [2 per cell]  4 Pt 2.74, 4 Ir 2.75, 4 Li 2.77

Summary:
Formation energy = -0.164 eV/atom
Uncorrected energy = -5.88 eV per atom
DOS(E_F) = 1.21 states/eV per atom
Volume = 14.77 A^3/atom
Magnetic moment = 0.00 μB/cell
Offset from the most stable computed form = 0.206 eV/atom



First-principles (PBE) data for crystalline Li2IrPt at its relaxed geometry, as listed in Alexandria.

a = 2.6802 Å, b = 4.3014 Å, c = 5.0412 Å
α = 90.00°, β = 90.00°, γ = 90.00°
Last column: nearest neighbours and their distance in Å.
Space group Pmm2 (No. 25)
Symmetry-distinct sites (fractional):
Li (0.0000, 0.0000, 0.0000) [1 per cell]  2 Pt 2.45-2.59, 6 Li 2.68-2.73
Li (0.5000, 0.5000, 0.2018) [1 per cell]  2 Ir 2.46-2.58, 6 Li 2.68-2.73
Ir (0.5000, 0.5000, 0.6893) [1 per cell]  2 Li 2.46-2.58, 2 Ir 2.68, 4 Pt 2.68
Pt (0.0000, 0.0000, 0.5138) [1 per cell]  2 Li 2.45-2.59, 2 Pt 2.68, 4 Ir 2.68

Summary:
Formation energy = -0.222 eV/atom
Uncorrected energy = -4.90 eV per atom
DOS(E_F) = 0.84 states/eV per atom
Volume = 14.53 A^3/atom
Magnetic moment = 0.00 μB/cell
Offset from the most stable computed form = 0.215 eV/atom



First-principles (PBE) data for crystalline LiIrPt4 at its relaxed geometry, as listed in Alexandria.

a = 7.3832 Å, b = 7.3832 Å, c = 7.3832 Å
α = 90.00°, β = 90.00°, γ = 90.00°
Last column: nearest neighbours and their distance in Å.
Space group F-43m (No. 216)
Symmetry-distinct sites (fractional):
Li (0.0000, 0.0000, 0.0000) [4 per cell]  12 Pt 3.06, 4 Ir 3.20
Ir (0.2500, 0.2500, 0.2500) [4 per cell]  12 Pt 3.06, 4 Li 3.20
Pt (0.1250, 0.1250, 0.6250) [16 per cell]  6 Pt 2.61

Summary:
Formation energy = 0.187 eV/atom
Uncorrected energy = -5.64 eV per atom
DOS(E_F) = 1.30 states/eV per atom
Volume = 16.77 A^3/atom
Magnetic moment = 7.52 μB/cell



First-principles (PBE) data for crystalline Li2IrPt at its relaxed geometry, as listed in Alexandria.

a = 2.5949 Å, b = 4.0623 Å, c = 5.3393 Å
α = 90.00°, β = 90.00°, γ = 90.00°
Last column: nearest neighbours and their distance in Å.
Space group Pmmm (No. 47)
Symmetry-distinct sites (fractional):
Li (0.0000, 0.0000, 0.2472) [2 per cell]  4 Li 2.59-2.70, 4 Ir 2.75, 4 Pt 2.76
Ir (0.5000, 0.5000, 0.0000) [1 per cell]  2 Ir 2.59, 2 Pt 2.67, 8 Li 2.75
Pt (0.5000, 0.5000, 0.5000) [1 per cell]  2 Pt 2.59, 2 Ir 2.67, 8 Li 2.76

Summary:
Formation energy = -0.231 eV/atom
Uncorrected energy = -4.91 eV per atom
DOS(E_F) = 0.98 states/eV per atom
Volume = 14.07 A^3/atom
Magnetic moment = 0.00 μB/cell
Offset from the most stable computed form = 0.205 eV/atom



First-principles (PBE) data for crystalline LiIrPt2 at its relaxed geometry, as listed in Alexandria.

a = 9.0678 Å, b = 2.7288 Å, c = 4.7671 Å
α = 90.00°, β = 98.21°, γ = 90.00°
Last column: nearest neighbours and their distance in Å.
Space group C2/m (No. 12)
Symmetry-distinct sites (fractional):
Li (0.0000, 0.0000, 0.0000) [2 per cell]  6 Pt 2.67-2.80, 2 Li 2.73, 4 Ir 2.75
Ir (0.0000, 0.5000, 0.5000) [2 per cell]  6 Pt 2.73-2.74, 2 Ir 2.73, 4 Li 2.75
Pt (0.2449, 0.0000, 0.7475) [4 per cell]  3 Li 2.67-2.80, 3 Ir 2.73-2.74, 6 Pt 2.73-2.76

Summary:
Formation energy = -0.169 eV/atom
Uncorrected energy = -5.88 eV per atom
DOS(E_F) = 1.04 states/eV per atom
Volume = 14.59 A^3/atom
Magnetic moment = 0.00 μB/cell
Offset from the most stable computed form = 0.200 eV/atom